Entry 1:
BaSrHf2Sc after structural relaxation, computed with PBE-GGA.

Geometry as POSCAR:
```
BaSrHf2Sc
1.0
5.364 0.000 0.000
0.000 5.364 0.000
0.000 0.000 6.108
Ba Sr Hf Sc
1 1 2 1
Direct
0.000 0.000 0.000 Ba
0.500 0.500 0.000 Sr
0.000 0.500 0.500 Hf
0.500 0.000 0.500 Hf
0.500 0.500 0.500 Sc
```

Calculated values
ΔH_f (0 K)	0.9050	eV per atom

Entry 2:
Sm2Y3Ho8 after structural relaxation, computed with PBE-GGA.

Geometry as POSCAR:
```
Sm2Y3Ho8
1.0
10.284 -3.794 0.000
10.284 3.794 0.000
-0.002 0.000 5.561
Sm Y Ho
2 3 8
Direct
0.241 0.241 0.499 Sm
0.759 0.759 0.501 Sm
0.000 0.000 0.500 Y
0.285 0.715 0.000 Y
0.715 0.285 0.000 Y
0.131 0.131 0.000 Ho
0.179 0.605 0.500 Ho
0.336 0.336 0.999 Ho
0.395 0.821 0.500 Ho
0.605 0.179 0.500 Ho
0.664 0.664 0.001 Ho
0.821 0.395 0.500 Ho
0.869 0.869 0.000 Ho
```

Calculated values
ΔH_f (0 K)	0.2441	eV per atom

Entry 3:
YRe2Pt after structural relaxation, computed with PBE-GGA.

Geometry as POSCAR:
```
YRe2Pt
1.0
-2.156 2.156 3.740
2.156 -2.156 3.740
2.156 2.156 -3.740
Y Re Pt
1 2 1
Direct
0.000 0.000 0.000 Y
0.500 0.500 0.000 Re
0.750 0.250 0.500 Re
0.250 0.750 0.500 Pt
```

Calculated values
ΔH_f (0 K)	0.1225	eV per atom
distance to the lowest polymorph of the same formula	255	meV/atom

Entry 4:
ZnGeTe2 after structural relaxation, computed with PBE-GGA.

Geometry as POSCAR:
```
ZnGeTe2
1.0
1.605 0.927 11.321
-1.605 0.927 11.321
0.000 -1.854 11.321
Zn Ge Te
1 1 2
Direct
0.000 0.000 0.000 Zn
0.500 0.500 0.500 Ge
0.084 0.084 0.084 Te
0.916 0.916 0.916 Te
```

Calculated values
energy relative to the elements, uncorrected	0.35	eV per atom
distance to the lowest polymorph of the same formula	444	meV/atom

Listing total magnetization for the structures above in their given order: 0.00 0.00 0.00 0.00 Bohr magnetons per cell.